Record 1
Ho5Si5Ge2, relaxed, DFT GGA-PBE; DOS(E_F) = 5.569 states/eV/cell; DFT total energy = -66.5 eV/cell; E_form (uncorrected) = -7.23 eV/f.u.; SG = C2/m; total magnetic moment = 0.0000 μB/atom
1.0
7.1878 -2.0262 0.0000
7.1878 2.0262 0.0000
-7.0397 0.0000 8.5917
Ho Si Ge
5 5 2
direct
0.0000 0.0000 0.0000
0.1106 0.1106 0.4290
0.2069 0.2069 0.8408
0.7931 0.7931 0.1592
0.8894 0.8894 0.5710
0.2660 0.2660 0.3208
0.4367 0.4367 0.1595
0.5000 0.5000 0.5000
0.5633 0.5633 0.8405
0.7340 0.7340 0.6792
0.3575 0.3575 0.7420
0.6425 0.6425 0.2580

Record 2
Hf2MnCd, relaxed, DFT GGA-PBE; DOS(E_F) = 2.332 states/eV/cell; DFT total energy = -30.5 eV/cell; SG = P4/mmm; total magnetic moment = 0.0000 μB/atom
1.0
3.1804 0.0000 0.0000
0.0000 3.1804 0.0000
0.0000 0.0000 7.3918
Hf Mn Cd
2 1 1
direct
0.0000 0.0000 0.2067
0.0000 0.0000 0.7933
0.5000 0.5000 0.0000
0.5000 0.5000 0.5000

Record 3
Cs3SbAu, relaxed, DFT GGA-PBE; energy above the lowest structure with this stoichiometry = 0.04 eV per formula unit; DOS(E_F) = 8.915 states/eV/cell; DFT total energy = -46.5 eV/cell; E_form (uncorrected) = -1.67 eV/f.u.; SG = P2_1/c; total magnetic moment = 0.0000 μB/atom
1.0
7.6870 0.0000 0.0000
0.0000 10.4613 0.0000
-0.1138 0.0000 12.1731
Cs Sb Au
12 4 4
direct
0.2211 0.1922 0.3767
0.2211 0.3078 0.8767
0.2496 0.5398 0.6043
0.2496 0.9602 0.1043
0.2681 0.5439 0.1469
0.2681 0.9561 0.6469
0.7319 0.0439 0.3531
0.7319 0.4561 0.8531
0.7504 0.0398 0.8957
0.7504 0.4602 0.3957
0.7789 0.6922 0.1233
0.7789 0.8078 0.6233
0.0909 0.7233 0.8736
0.0909 0.7767 0.3736
0.9091 0.2233 0.6264
0.9091 0.2767 0.1264
0.4451 0.7401 0.8753
0.4451 0.7599 0.3753
0.5549 0.2401 0.6247
0.5549 0.2599 0.1247

Record 4
CdSn3S6, relaxed, DFT GGA-PBE; DOS(E_F) = 0.635 states/eV/cell; DFT total energy = -82.2 eV/cell; E_form (uncorrected) = -3.40 eV/f.u.; SG = P2_1/m; total magnetic moment = 0.0000 μB/atom
1.0
11.6625 0.0000 0.0000
0.0000 3.8301 0.0000
-4.5718 0.0000 10.8105
Cd Sn S
2 6 12
direct
0.0610 0.2500 0.3921
0.9390 0.7500 0.6079
0.1425 0.7500 0.0121
0.2356 0.2500 0.7579
0.4648 0.2500 0.3506
0.5352 0.7500 0.6494
0.7644 0.7500 0.2421
0.8575 0.2500 0.9879
0.0206 0.2500 0.7679
0.1565 0.7500 0.5778
0.2481 0.2500 0.1677
0.3172 0.7500 0.9155
0.3608 0.7500 0.4336
0.4558 0.2500 0.7491
0.5442 0.7500 0.2509
0.6392 0.2500 0.5664
0.6828 0.2500 0.0845
0.7519 0.7500 0.8323
0.8435 0.2500 0.4222
0.9794 0.7500 0.2321

Record 5
NaZn2Au2, relaxed, DFT GGA-PBE; energy above the lowest structure with this stoichiometry = 0.39 eV per formula unit; DOS(E_F) = 2.525 states/eV/cell; DFT total energy = -23.0 eV/cell; SG = I4/mmm; total magnetic moment = 0.0000 μB/atom
1.0
-2.1177 2.1177 11.3660
2.1177 -2.1177 11.3660
2.1177 2.1177 -11.3660
Na Zn Au
2 4 4
direct
0.1261 0.1261 0.0000
0.8739 0.8739 0.0000
0.0000 0.5000 0.5000
0.3195 0.3195 0.0000
0.5000 0.0000 0.5000
0.6805 0.6805 0.0000
0.2500 0.7500 0.5000
0.4298 0.4298 0.0000
0.5702 0.5702 0.0000
0.7500 0.2500 0.5000

Record 6
Th7Tl2Re2, relaxed, DFT GGA-PBE; DOS(E_F) = 13.563 states/eV/cell; DFT total energy = -81.9 eV/cell; SG = Imm2; total magnetic moment = 0.0000 μB/atom
1.0
-1.9355 8.2647 5.0974
1.9355 -8.2647 5.0974
1.9355 8.2647 -5.0974
Th Tl Re
7 2 2
direct
0.0000 0.0000 0.0000
0.0334 0.3556 0.6779
0.0684 0.7235 0.3449
0.3787 0.7235 0.6551
0.4200 0.5613 0.8587
0.6777 0.3556 0.3221
0.7026 0.5613 0.1413
0.3279 0.3279 0.0000
0.7142 0.2142 0.5000
0.2740 0.0468 0.2272
0.8196 0.0468 0.7728

Record 7
SrDyHg3, relaxed, DFT GGA-PBE; DOS(E_F) = 6.806 states/eV/cell; DFT total energy = -19.0 eV/cell; SG = Cmcm; total magnetic moment = 0.0000 μB/atom
1.0
1.9288 -14.8090 0.0000
1.9288 14.8090 0.0000
0.0000 0.0000 4.9374
Sr Dy Hg
2 2 6
direct
0.0779 0.9221 0.7500
0.9221 0.0779 0.2500
0.2097 0.7903 0.2500
0.7903 0.2097 0.7500
0.3131 0.6869 0.2500
0.3741 0.6259 0.7500
0.4736 0.5264 0.7500
0.5264 0.4736 0.2500
0.6259 0.3741 0.2500
0.6869 0.3131 0.7500

Record 8
Mn3RuPt, relaxed, DFT GGA-PBE; energy above the lowest structure with this stoichiometry = 0.00 eV per formula unit; DOS(E_F) = 7.943 states/eV/cell; DFT total energy = -37.0 eV/cell; SG = Pm-3m; total magnetic moment = 2.1809 μB/atom
1.0
4.5623 0.0000 0.0000
0.0000 4.5623 0.0000
0.0000 0.0000 4.5623
Mn Ru Pt
3 1 1
direct
0.0000 0.0000 0.5000
0.0000 0.5000 0.0000
0.5000 0.0000 0.0000
0.0000 0.0000 0.0000
0.5000 0.5000 0.5000